1.
TePPdC2: optimized geometry, PBE.

The energy relative to the elements, uncorrected is 35.88 kcal/mol of atoms.

The structure belongs to space group P4/mmm (No. 123); the cell edges are 3.794, 3.794 and 5.000 Å and the angles 90.00°, 90.00° and 90.00°. The asymmetric unit holds Te at (0.000, 0.000, 0.000), P at (0.500, 0.500, 0.500), Pd at (0.500, 0.500, 0.000) and C at (0.000, 0.500, 0.500).

=====

2.
PPdW2C: optimized geometry, PBE.

Its formation energy is 2.273 eV per atom.

The structure belongs to space group P4/mmm (No. 123); the cell edges are 4.934, 4.934 and 3.626 Å and the angles 90.00°, 90.00° and 90.00°. The asymmetric unit holds P at (0.000, 0.000, 0.000), Pd at (0.500, 0.500, 0.500), W at (0.000, 0.500, 0.500) and C at (0.500, 0.500, 0.000).

=====

Number 1: Fermi-level density of states 0.640 states/eV per atom, volume 72 Å³ per cell, M_tot 0.063 μB per atom. Number 2: Fermi-level density of states 1.135 states/eV per atom, volume 88 Å³ per cell, M_tot 0.484 μB per atom.